[1]
## Pm6Sb5Pb (GGA-PBE)

Data for a geometry-optimized Pm6Sb5Pb structure.

Magnetization ... 0.00 μB/atom
VASP energy ... -65.4 eV for the cell shown
Raw formation energy ... -1.0513 eV/atom
Space-group type ... C2/m

```
Pm6Sb5Pb
1.0
-6.8070 -1.6007 -3.4086
-0.4793 -7.6538 -1.4175
-3.0574 -4.7751 5.3636
Pm Sb Pb
6 5 1
Direct
0.7480 0.7462 0.0000 Pm
0.7485 0.0837 0.3381 Pm
0.7485 0.4218 0.6619 Pm
0.2520 0.2538 0.0000 Pm
0.2515 0.9163 0.6619 Pm
0.2515 0.5782 0.3381 Pm
0.5000 0.1661 0.6677 Sb
0.5000 0.5000 0.0000 Sb
0.0000 0.3335 0.3330 Sb
0.0000 0.6665 0.6670 Sb
0.5000 0.8339 0.3323 Sb
0.0000 0.0000 0.0000 Pb
```

***

[2]
## Cs2CaPtO4 (GGA-PBE)

Data for a geometry-optimized Cs2CaPtO4 structure.

Magnetization ... 0.25 μB/atom
VASP energy ... -79.4 eV for the cell shown
Raw formation energy ... -1.2639 eV/atom
Space-group type ... Fddd

```
Cs2CaPtO4
1.0
-4.6664 0.9343 -4.0525
-7.0968 -1.7456 2.9489
-3.4170 11.1368 1.6816
Cs O Ca Pt
4 8 2 2
Direct
0.5696 0.5000 0.8608 Cs
0.1804 0.0000 0.6392 Cs
0.8196 0.0000 0.3608 Cs
0.9304 0.5000 0.1392 Cs
0.6251 0.1914 0.0028 O
0.3721 0.8086 0.0028 O
0.1835 0.1914 0.9972 O
0.9307 0.6914 0.5028 O
0.8193 0.8086 0.9972 O
0.1249 0.3086 0.4972 O
0.5665 0.3086 0.5028 O
0.3779 0.6914 0.4972 O
0.7500 0.5000 0.5000 Ca
0.0000 0.0000 0.0000 Ca
0.5000 0.0000 0.0000 Pt
0.2500 0.5000 0.5000 Pt
```